# LiLu4AgIr2

Crystalline LiLu4AgIr2 at its relaxed geometry (GGA-PBE, the Open Quantum Materials Database).

Output
The calculation puts the spin magnetization at 0.000 μB per formula unit. The symmetry is No. 123. The total energy is -5.7404 eV/atom.

```
LiLu4AgIr2
1.0
4.8392 0.0000 0.0000
0.0000 4.8392 0.0000
0.0000 0.0000 6.8259
Li Lu Ag Ir
1 4 1 2
Cartesian
0.0000 0.0000 0.0000 Li
0.0000 2.4196 1.6934 Lu
0.0000 2.4196 5.1325 Lu
2.4196 0.0000 1.6934 Lu
2.4196 0.0000 5.1325 Lu
2.4196 2.4196 3.4129 Ag
0.0000 0.0000 3.4129 Ir
2.4196 2.4196 0.0000 Ir
```

=====

# CoSiTcHg

Crystalline CoSiTcHg at its relaxed geometry (GGA-PBE, the Open Quantum Materials Database).

Output
The calculation puts the spin magnetization at 2.895 μB per formula unit. The symmetry is No. 216. The total energy is -5.0571 eV/atom.

```
CoSiTcHg
1.0
0.0000 3.1300 3.1300
3.1300 0.0000 3.1300
3.1300 3.1300 0.0000
Co Si Tc Hg
1 1 1 1
Cartesian
0.0000 0.0000 0.0000 Co
4.6950 4.6950 4.6950 Si
1.5650 1.5650 1.5650 Tc
3.1300 3.1300 3.1300 Hg
```

=====

# Tl3MoCl6

Crystalline Tl3MoCl6 at its relaxed geometry (GGA-PBE, the Open Quantum Materials Database).

Output
The calculation puts the spin magnetization at 2.999 μB per formula unit. The symmetry is No. 225. The total energy is -3.8107 eV/atom.

```
Tl3MoCl6
1.0
0.0000 5.4130 5.4130
5.4130 0.0000 5.4130
5.4130 5.4130 0.0000
Tl Mo Cl
3 1 6
Cartesian
0.0000 0.0000 0.0000 Tl
2.7065 2.7065 2.7065 Tl
8.1195 8.1195 8.1195 Tl
5.4130 5.4130 5.4130 Mo
5.4130 5.4130 2.9738 Cl
5.4130 2.9738 5.4130 Cl
7.8522 5.4130 5.4130 Cl
2.9738 5.4130 5.4130 Cl
5.4130 7.8522 5.4130 Cl
5.4130 5.4130 7.8522 Cl
```

=====

# RbNbAg

Crystalline RbNbAg at its relaxed geometry (GGA-PBE, the Open Quantum Materials Database).

Output
The calculation puts the spin magnetization at 4.995 μB per formula unit. The symmetry is No. 216. The total energy is -2.6088 eV/atom.

```
RbNbAg
1.0
0.0000 3.8425 3.8425
3.8425 0.0000 3.8425
3.8425 3.8425 0.0000
Rb Nb Ag
1 1 1
Cartesian
0.0000 0.0000 0.0000 Rb
1.9213 1.9213 1.9213 Nb
5.7638 5.7638 5.7638 Ag
```

=====

# NbBNO

Crystalline NbBNO at its relaxed geometry (GGA-PBE, the Open Quantum Materials Database).

Output
The calculation puts the spin magnetization at 0.001 μB per formula unit. The symmetry is No. 129. The total energy is -7.9442 eV/atom.

```
NbBNO
1.0
4.0629 0.0000 0.0000
0.0000 4.0629 0.0000
0.0000 0.0000 4.4068
Nb B N O
2 2 2 2
Cartesian
1.0157 3.0471 0.0000 Nb
3.0471 1.0157 0.0000 Nb
1.0157 1.0157 2.1137 B
3.0471 3.0471 2.2930 B
1.0157 1.0157 3.5956 N
3.0471 3.0471 0.8112 N
1.0157 3.0471 2.2034 O
3.0471 1.0157 2.2034 O
```

=====

# PuNpMo

Crystalline PuNpMo at its relaxed geometry (GGA-PBE, the Open Quantum Materials Database).

Output
The calculation puts the spin magnetization at 1.844 μB per formula unit. The calculation puts the formation energy at 538 meV per atom. The symmetry is No. 216. The total energy is -12.0438 eV/atom.

```
PuNpMo
1.0
0.0000 3.0186 3.0186
3.0186 0.0000 3.0186
3.0186 3.0186 0.0000
Pu Np Mo
1 1 1
Cartesian
0.0000 0.0000 0.0000 Pu
1.5093 1.5093 1.5093 Np
4.5279 4.5279 4.5279 Mo
```

=====

# Zr4Sc2Ni3C3

Crystalline Zr4Sc2Ni3C3 at its relaxed geometry (GGA-PBE, the Open Quantum Materials Database).

Output
The calculation puts the spin magnetization at 0.016 μB per formula unit. The symmetry is No. 15. The total energy is -8.0424 eV/atom.

```
Zr4Sc2Ni3C3
1.0
4.9358 -2.8464 0.0000
4.9358 2.8464 0.0000
-3.3979 0.0000 13.4089
Zr Sc Ni C
8 4 6 6
Cartesian
0.8147 0.5021 1.2481 Zr
0.7954 0.4654 5.4561 Zr
-0.8842 -0.5021 7.9525 Zr
-0.9035 -0.4654 12.1605 Zr
7.3773 0.4654 1.2484 Zr
7.3579 0.5021 5.4564 Zr
5.6783 -0.4654 7.9528 Zr
5.6590 -0.5021 12.1608 Zr
4.1318 0.4643 1.4155 Sc
4.0409 0.4643 5.2889 Sc
2.4328 -0.4643 8.1200 Sc
2.3419 -0.4643 11.9934 Sc
2.3874 2.3569 10.0567 Ni
-0.0714 0.9352 10.0537 Ni
1.6275 -0.9352 3.3492 Ni
4.8462 0.9352 10.0597 Ni
6.5452 -0.9352 3.3552 Ni
4.0863 -2.3569 3.3522 Ni
2.4679 1.4232 0.0000 C
2.4165 1.4193 6.7044 C
5.7562 1.4193 0.0000 C
0.7689 -1.4232 6.7044 C
4.1155 -1.4193 0.0000 C
4.0572 -1.4193 6.7044 C
```

=====

# GdHgB

Crystalline GdHgB at its relaxed geometry (GGA-PBE, the Open Quantum Materials Database).

Output
The calculation puts the spin magnetization at 0.001 μB per formula unit. The symmetry is No. 216. The total energy is -3.9175 eV/atom.

```
GdHgB
1.0
0.0000 3.0842 3.0842
3.0842 0.0000 3.0842
3.0842 3.0842 0.0000
Gd Hg B
1 1 1
Cartesian
0.0000 0.0000 0.0000 Gd
3.0842 3.0842 3.0842 Hg
1.5421 1.5421 1.5421 B
```

=====

# ScZnInTe3

Crystalline ScZnInTe3 at its relaxed geometry (GGA-PBE, the Open Quantum Materials Database).

Output
The calculation puts the spin magnetization at 0.001 μB per formula unit. The symmetry is No. 11. The total energy is -3.9718 eV/atom.

```
ScZnInTe3
1.0
8.5660 0.0000 0.0000
0.0000 4.2232 0.0000
-3.6844 0.0000 10.2682
Sc Zn In Te
2 2 2 6
Cartesian
1.0810 1.0558 1.4775 Sc
3.8007 3.1674 8.7907 Sc
2.1733 3.1674 3.9939 Zn
2.7084 1.0558 6.2742 Zn
-0.6278 3.1674 7.3366 In
5.5094 1.0558 2.9316 In
-2.7001 1.0558 8.8534 Te
0.5719 1.0558 4.5224 Te
3.1491 3.1674 1.5340 Te
1.7325 1.0558 8.7342 Te
4.3097 3.1674 5.7458 Te
7.5818 3.1674 1.4148 Te
```

=====

# Ho3Mg3GaIr2

Crystalline Ho3Mg3GaIr2 at its relaxed geometry (GGA-PBE, the Open Quantum Materials Database).

Output
The calculation puts the spin magnetization at 0.002 μB per formula unit. The symmetry is No. 189. The total energy is -4.9275 eV/atom.

```
Ho3Mg3GaIr2
1.0
7.2637 0.0000 0.0000
-3.6319 6.2906 0.0000
0.0000 0.0000 4.1320
Ho Mg Ga Ir
3 3 1 2
Cartesian
-1.5283 2.6471 0.0000 Ho
3.0566 0.0000 0.0000 Ho
2.1036 3.6435 0.0000 Ho
-2.7237 4.7176 2.0660 Mg
0.9082 1.5730 2.0660 Mg
5.4474 0.0000 2.0660 Mg
0.0000 0.0000 0.0000 Ga
0.0000 4.1937 2.0660 Ir
3.6319 2.0969 2.0660 Ir
```

=====

# GdHoMg2Ag4

Crystalline GdHoMg2Ag4 at its relaxed geometry (GGA-PBE, the Open Quantum Materials Database).

Output
The calculation puts the spin magnetization at 0.008 μB per formula unit. The symmetry is No. 123. The total energy is -3.2605 eV/atom.

```
GdHoMg2Ag4
1.0
4.9170 0.0000 0.0000
0.0000 4.9170 0.0000
0.0000 0.0000 6.9571
Gd Ho Mg Ag
1 1 2 4
Cartesian
0.0000 0.0000 0.0000 Gd
2.4585 2.4585 3.4785 Ho
0.0000 0.0000 3.4785 Mg
2.4585 2.4585 0.0000 Mg
0.0000 2.4585 1.7660 Ag
0.0000 2.4585 5.1911 Ag
2.4585 0.0000 1.7660 Ag
2.4585 0.0000 5.1911 Ag
```

=====

# SmHgNO

Crystalline SmHgNO at its relaxed geometry (GGA-PBE, the Open Quantum Materials Database).

Output
The calculation puts the spin magnetization at 0.000 μB per formula unit. The symmetry is No. 129. The total energy is -5.5323 eV/atom.

```
SmHgNO
1.0
3.9524 0.0000 0.0000
0.0000 3.9524 0.0000
0.0000 0.0000 8.1444
Sm Hg N O
2 2 2 2
Cartesian
0.9881 0.9881 1.1597 Sm
2.9643 2.9643 6.9848 Sm
0.9881 2.9643 4.0722 Hg
2.9643 0.9881 4.0722 Hg
0.9881 0.9881 5.6286 N
2.9643 2.9643 2.5158 N
0.9881 2.9643 0.0000 O
2.9643 0.9881 0.0000 O
```

=====

# Ta4AlGeN2

Crystalline Ta4AlGeN2 at its relaxed geometry (GGA-PBE, the Open Quantum Materials Database).

Output
The calculation puts the spin magnetization at 0.001 μB per formula unit. The symmetry is No. 187. The total energy is -9.6218 eV/atom.

```
Ta4AlGeN2
1.0
3.0025 0.0000 0.0000
-1.5013 2.6002 0.0000
0.0000 0.0000 14.2024
Ta Al Ge N
4 1 1 2
Cartesian
0.0000 0.0000 2.1547 Ta
0.0000 0.0000 12.0477 Ta
1.5013 0.8667 4.8752 Ta
1.5013 0.8667 9.3272 Ta
0.0000 0.0000 7.1012 Al
1.5013 0.8667 0.0000 Ge
0.0000 1.7335 3.5161 N
0.0000 1.7335 10.6862 N
```

=====

# Nd3Gd2YCoTe2

Crystalline Nd3Gd2YCoTe2 at its relaxed geometry (GGA-PBE, the Open Quantum Materials Database).

Output
The calculation puts the spin magnetization at 0.000 μB per formula unit. The symmetry is No. 38. The total energy is -5.5292 eV/atom.

```
Nd3Gd2YCoTe2
1.0
4.0017 0.0000 0.0000
0.0000 7.3618 4.2511
0.0000 -7.3618 4.2511
Nd Gd Y Co Te
3 2 1 1 2
Cartesian
0.0000 0.0000 0.0000 Nd
0.0000 -2.9862 3.3482 Nd
0.0000 2.9862 3.3482 Nd
2.0009 -1.7166 6.0538 Gd
2.0009 1.7166 6.0538 Gd
2.0009 0.0000 3.0697 Y
0.0000 0.0000 5.0728 Co
2.0009 -4.9158 5.0722 Te
2.0009 4.9158 5.0722 Te
```

=====

# ZrCu

Crystalline ZrCu at its relaxed geometry (GGA-PBE, the Open Quantum Materials Database).

Output
The calculation puts the spin magnetization at 0.001 μB per formula unit. The calculation puts the formation energy at -124 meV per atom. The symmetry is No. 8. The total energy is -6.2562 eV/atom.

```
ZrCu
1.0
3.2344 -4.1196 0.0000
3.2344 4.1196 0.0000
-1.5330 0.0000 5.2597
Zr Cu
4 4
Cartesian
0.0000 0.0000 0.0000 Zr
1.6750 1.9889 2.0215 Zr
1.7217 0.0000 5.2298 Zr
1.6750 -1.9889 2.0215 Zr
-0.0241 0.0000 2.8935 Cu
3.3194 2.0563 4.3581 Cu
3.3994 0.0000 2.8745 Cu
3.3194 -2.0563 4.3581 Cu
```

=====

# Ho2CuTe6

Crystalline Ho2CuTe6 at its relaxed geometry (GGA-PBE, the Open Quantum Materials Database).

Output
The calculation puts the spin magnetization at 0.001 μB per formula unit. The symmetry is No. 189. The total energy is -4.2006 eV/atom.

```
Ho2CuTe6
1.0
8.3441 0.0000 0.0000
-4.1721 7.2262 0.0000
0.0000 0.0000 3.9851
Ho Cu Te
2 1 6
Cartesian
0.0000 4.8175 0.0000 Ho
4.1721 2.4087 0.0000 Ho
0.0000 0.0000 1.9926 Cu
-0.9570 1.6576 0.0000 Te
-2.2896 3.9658 1.9926 Te
1.9141 0.0000 0.0000 Te
1.8824 3.2604 1.9926 Te
4.5793 0.0000 1.9926 Te
3.2150 5.5686 0.0000 Te
```

=====

# LaAl5CuIr

Crystalline LaAl5CuIr at its relaxed geometry (GGA-PBE, the Open Quantum Materials Database).

Output
The calculation puts the spin magnetization at 0.001 μB per formula unit. The symmetry is No. 44. The total energy is -5.1263 eV/atom.

```
LaAl5CuIr
1.0
-2.0420 3.6083 4.9465
2.0420 -3.6083 4.9465
2.0420 3.6083 -4.9465
La Al Cu Ir
1 5 1 1
Cartesian
0.0000 0.0000 0.0000 La
2.0420 2.2530 -1.4991 Al
2.0420 2.2326 1.5451 Al
0.0000 3.6083 0.1207 Al
0.0000 1.3553 3.4474 Al
0.0000 1.3758 6.4916 Al
0.0000 3.6083 2.4878 Cu
2.0420 0.0000 2.6649 Ir
```

=====

# TbTlNiTe3

Crystalline TbTlNiTe3 at its relaxed geometry (GGA-PBE, the Open Quantum Materials Database).

Output
The calculation puts the spin magnetization at 0.100 μB per formula unit. The symmetry is No. 62. The total energy is -4.2172 eV/atom.

```
TbTlNiTe3
1.0
8.9396 0.0000 0.0000
0.0000 4.4082 0.0000
0.0000 0.0000 17.2690
Tb Tl Ni Te
4 4 4 12
Cartesian
2.0258 1.1021 0.8004 Tb
2.4440 3.3062 9.4348 Tb
6.4956 1.1021 7.8341 Tb
6.9138 3.3062 16.4686 Tb
0.7352 3.3062 5.0269 Tl
3.7347 1.1021 13.6614 Tl
5.2050 3.3062 3.6076 Tl
8.2045 1.1021 12.2421 Tl
1.1508 3.3062 14.9327 Ni
3.3190 1.1021 6.2982 Ni
5.6207 3.3062 10.9707 Ni
7.7888 1.1021 2.3362 Ni
0.0796 1.1021 15.6094 Te
1.1400 1.1021 7.7261 Te
1.6627 3.3062 12.4345 Te
2.8071 1.1021 3.8000 Te
3.3298 3.3062 16.3606 Te
4.3903 3.3062 6.9750 Te
4.5494 1.1021 10.2940 Te
5.6098 1.1021 0.9084 Te
6.1325 3.3062 13.4690 Te
7.2769 1.1021 4.8345 Te
7.7996 3.3062 9.5429 Te
8.8601 3.3062 1.6595 Te
```

=====

# ZrPd

Crystalline ZrPd at its relaxed geometry (GGA-PBE, the Open Quantum Materials Database).

Output
The calculation puts the spin magnetization at 0.000 μB per formula unit. The calculation puts the formation energy at 284 meV per atom. The symmetry is No. 216. The total energy is -6.5771 eV/atom.

```
ZrPd
1.0
0.0000 2.9922 2.9922
2.9922 0.0000 2.9922
2.9922 2.9922 0.0000
Zr Pd
1 1
Cartesian
0.0000 0.0000 0.0000 Zr
1.4961 1.4961 1.4961 Pd
```

=====

# Rb2NiP2

Crystalline Rb2NiP2 at its relaxed geometry (GGA-PBE, the Open Quantum Materials Database).

Output
The calculation puts the spin magnetization at 0.002 μB per formula unit. The symmetry is No. 63. The total energy is -4.1070 eV/atom.

```
Rb2NiP2
1.0
3.3427 -7.1016 0.0000
3.3427 7.1016 0.0000
0.0000 0.0000 5.7610
Rb Ni P
4 2 4
Cartesian
3.3427 5.9004 4.3208 Rb
3.3427 3.0299 1.4403 Rb
3.3427 -3.0299 4.3208 Rb
3.3427 -5.9004 1.4403 Rb
3.3427 0.0000 0.0000 Ni
3.3427 0.0000 2.8805 Ni
2.2476 1.3488 4.3208 P
2.2476 -1.3488 1.4403 P
4.4378 1.3488 4.3208 P
4.4378 -1.3488 1.4403 P
```